DFT (GGA-PBE) results for a relaxed structure of BaSnOs2.

Lattice parameters (Å, degrees): 9.9135 9.9135 9.9135 150.91 150.91 41.61
Element x y z (fractional)
Ba 0.0000 0.0000 0.0000
Ba 0.7500 0.2500 0.5000
Sn 0.2500 0.7500 0.5000
Sn 0.5000 0.5000 0.0000
Os 0.3511 0.1250 0.7261
Os 0.3750 0.6489 0.7739
Os 0.3989 0.6250 0.2739
Os 0.8750 0.6011 0.2261

Results
* density of states at the Fermi level: 7.59 states/eV/cell
* energy of formation: 0.642 eV per atom